1:
LaBrN2 | PBE | relaxed

## Properties
The calculation puts the density at 4.80 g cm⁻³.

Cell and atoms, written as extended XYZ:
```
4
Lattice="2.0098 1.1603 6.1063 -2.0098 1.1603 6.1063 0.0000 -2.3207 6.1063" Properties=species:S:1:pos:R:3 pbc="T T T"
La 0.0000 0.0000 0.0000
Br 0.0000 0.0000 9.1594
N 0.0000 0.0000 7.0966
N 0.0000 0.0000 11.2222
```

***

2:
LaBrN2 | PBE | relaxed

## Properties
The calculation puts the density at 5.25 g cm⁻³.

Cell and atoms, written as extended XYZ:
```
8
Lattice="-2.4455 2.4455 6.5321 2.4455 -2.4455 6.5321 2.4455 2.4455 -6.5321" Properties=species:S:1:pos:R:3 pbc="T T T"
La 0.0000 0.0000 0.0000
La 0.0000 2.4455 3.2660
Br 2.4455 0.0000 3.2660
Br 0.0000 0.0000 6.5321
N 1.2228 -1.0802 4.8990
N 1.3654 1.2228 1.6330
N 1.2228 3.5257 -1.6330
N 1.0802 1.2228 8.1651
```

***

3:
LaBrN2 | PBE | relaxed

## Properties
The calculation puts the density at 5.99 g cm⁻³.

Cell and atoms, written as extended XYZ:
```
4
Lattice="0.0000 3.2466 3.2466 3.2466 0.0000 3.2466 3.2466 3.2466 0.0000" Properties=species:S:1:pos:R:3 pbc="T T T"
La 0.0000 0.0000 0.0000
Br 3.2466 3.2466 3.2466
N 1.6233 1.6233 1.6233
N 4.8699 4.8699 4.8699
```

***

Stability check: which of them is least stable? 3.

***

1:
La4BrN2 | PBE | relaxed

## Properties
The calculation puts the density at 6.29 g cm⁻³.

Cell and atoms, written as extended XYZ:
```
14
Lattice="6.9668 -3.8558 0.0000 6.9668 3.8558 0.0000 -2.0825 0.0000 6.5241" Properties=species:S:1:pos:R:3 pbc="T T T"
La 0.0000 0.0000 0.0000
La 3.9068 2.0568 0.2564
La 5.8297 2.1366 3.6151
La 2.4124 0.0000 3.9852
La 4.7430 0.0000 6.4572
La 3.9068 -2.0568 0.2564
La 5.8297 -2.1366 3.6151
La 9.8314 0.0000 3.7412
Br 8.3153 1.8831 1.8971
Br 8.3153 -1.8831 1.8971
N 0.1550 0.0000 4.8737
N 3.7824 1.9318 5.1769
N 3.7824 -1.9318 5.1769
N 11.7656 0.0000 1.9408
```

***

2:
La4BrN2 | PBE | relaxed

## Properties
The calculation puts the density at 6.35 g cm⁻³.

Cell and atoms, written as extended XYZ:
```
7
Lattice="1.8707 1.0800 14.3246 -1.8707 1.0800 14.3246 0.0000 -2.1601 14.3246" Properties=species:S:1:pos:R:3 pbc="T T T"
La 0.0000 0.0000 5.1963
La 0.0000 0.0000 11.8983
La 0.0000 0.0000 31.0754
La 0.0000 0.0000 37.7775
Br 0.0000 0.0000 0.0000
N 0.0000 0.0000 18.1333
N 0.0000 0.0000 24.8404
```

***

Stability check: which of them is least stable? 1.

***

1:
LaSBrN2 | PBE | relaxed

## Properties
The calculation puts the density at 4.10 g cm⁻³.

Cell and atoms, written as extended XYZ:
```
5
Lattice="4.1701 0.0000 0.0000 0.0000 4.1701 0.0000 0.0000 0.0000 6.5017" Properties=species:S:1:pos:R:3 pbc="T T T"
La 0.0000 0.0000 0.0000
S 0.0000 0.0000 3.2509
Br 2.0850 2.0850 3.2509
N 0.0000 2.0850 0.0000
N 2.0850 0.0000 0.0000
```

***

2:
LaSBrN2 | PBE | relaxed

## Properties
The calculation puts the density at 5.48 g cm⁻³.

Cell and atoms, written as extended XYZ:
```
5
Lattice="4.1972 0.0000 0.0000 0.0000 4.1972 0.0000 0.0000 0.0000 4.7983" Properties=species:S:1:pos:R:3 pbc="T T T"
La 0.0000 0.0000 0.0000
S 2.0986 2.0986 0.0000
Br 2.0986 2.0986 2.3991
N 0.0000 2.0986 2.3991
N 2.0986 0.0000 2.3991
```

***

Stability check: which of them is least stable? 1.

***

1:
LaSeBrN2 | PBE | relaxed

## Properties
The calculation puts the density at 4.46 g cm⁻³.

Cell and atoms, written as extended XYZ:
```
5
Lattice="4.2161 0.0000 0.0000 0.0000 4.2161 0.0000 0.0000 0.0000 6.8251" Properties=species:S:1:pos:R:3 pbc="T T T"
La 0.0000 0.0000 0.0000
Se 0.0000 0.0000 3.4126
Br 2.1081 2.1081 3.4126
N 0.0000 2.1081 0.0000
N 2.1081 0.0000 0.0000
```

***

2:
LaSeBrN2 | PBE | relaxed

## Properties
The calculation puts the density at 5.84 g cm⁻³.

Cell and atoms, written as extended XYZ:
```
5
Lattice="4.2827 0.0000 0.0000 0.0000 4.2827 0.0000 0.0000 0.0000 5.0516" Properties=species:S:1:pos:R:3 pbc="T T T"
La 0.0000 0.0000 0.0000
Se 2.1413 2.1413 0.0000
Br 2.1413 2.1413 2.5258
N 0.0000 2.1413 2.5258
N 2.1413 0.0000 2.5258
```

***

Stability check: which of them is least stable? 2.

***

1:
NaLa2Br | PBE | relaxed

## Properties
The calculation puts the density at 5.08 g cm⁻³.

Cell and atoms, written as extended XYZ:
```
4
Lattice="0.0000 3.9625 3.9625 3.9625 0.0000 3.9625 3.9625 3.9625 0.0000" Properties=species:S:1:pos:R:3 pbc="T T T"
Na 0.0000 0.0000 0.0000
La 1.9813 1.9813 1.9813
La 5.9438 5.9438 5.9438
Br 3.9625 3.9625 3.9625
```

***

2:
NaLa2Br | PBE | relaxed

## Properties
The calculation puts the density at 4.52 g cm⁻³.

Cell and atoms, written as extended XYZ:
```
8
Lattice="-4.5575 4.5575 3.3698 4.5575 -4.5575 3.3698 4.5575 4.5575 -3.3698" Properties=species:S:1:pos:R:3 pbc="T T T"
Na 0.0000 0.0000 0.0000
Na 0.0000 4.5575 1.6849
La 2.2787 -1.7855 2.5273
La 2.7720 2.2787 0.8424
La 2.2787 6.3429 -0.8424
La 1.7855 2.2787 4.2122
Br 4.5575 0.0000 1.6849
Br 0.0000 0.0000 3.3698
```

***

Stability check: which of them is least stable? 1.

***

1:
NaLaBr2 | PBE | relaxed

## Properties
The calculation puts the density at 4.82 g cm⁻³.

Cell and atoms, written as extended XYZ:
```
4
Lattice="0.0000 3.8133 3.8133 3.8133 0.0000 3.8133 3.8133 3.8133 0.0000" Properties=species:S:1:pos:R:3 pbc="T T T"
Na 0.0000 0.0000 0.0000
La 3.8133 3.8133 3.8133
Br 1.9066 1.9066 1.9066
Br 5.7199 5.7199 5.7199
```

***

2:
NaLaBr2 | PBE | relaxed

## Properties
The calculation puts the density at 3.84 g cm⁻³.

Cell and atoms, written as extended XYZ:
```
4
Lattice="2.0809 1.2014 9.2848 -2.0809 1.2014 9.2848 0.0000 -2.4028 9.2848" Properties=species:S:1:pos:R:3 pbc="T T T"
Na 0.0000 0.0000 0.0000
La 0.0000 0.0000 13.9272
Br 0.0000 0.0000 11.0008
Br 0.0000 0.0000 16.8536
```

***

3:
NaLaBr2 | PBE | relaxed

## Properties
The calculation puts the density at 3.87 g cm⁻³.

Cell and atoms, written as extended XYZ:
```
4
Lattice="1.9729 1.1391 10.2483 -1.9729 1.1391 10.2483 0.0000 -2.2781 10.2483" Properties=species:S:1:pos:R:3 pbc="T T T"
Na 0.0000 0.0000 0.0000
La 0.0000 0.0000 15.3724
Br 0.0000 0.0000 3.0394
Br 0.0000 0.0000 27.7054
```

***

4:
NaLaBr2 | PBE | relaxed

## Properties
The calculation puts the density at 3.44 g cm⁻³.

Cell and atoms, written as extended XYZ:
```
8
Lattice="-3.5379 3.5379 6.2014 3.5379 -3.5379 6.2014 3.5379 3.5379 -6.2014" Properties=species:S:1:pos:R:3 pbc="T T T"
Na 0.0000 0.0000 0.0000
Na 0.0000 3.5379 3.1007
La 3.5379 0.0000 3.1007
La 0.0000 0.0000 6.2014
Br 5.3069 1.5717 -1.5503
Br 1.5717 1.7690 1.5503
Br -1.7690 1.9662 4.6510
Br 1.9662 1.7690 7.7517
```

***

Stability check: which of them is least stable? 1.

***

1:
NaLaBr3 | PBE | relaxed

## Properties
The calculation puts the density at 3.22 g cm⁻³.

Cell and atoms, written as extended XYZ:
```
5
Lattice="5.9142 0.0000 0.0000 0.0000 5.9142 0.0000 0.0000 0.0000 5.9142" Properties=species:S:1:pos:R:3 pbc="T T T"
Na 0.0000 0.0000 0.0000
La 2.9571 2.9571 2.9571
Br 0.0000 2.9571 2.9571
Br 2.9571 0.0000 2.9571
Br 2.9571 2.9571 0.0000
```

***

2:
NaLaBr3 | PBE | relaxed

## Properties
The calculation puts the density at 4.52 g cm⁻³.

Cell and atoms, written as extended XYZ:
```
5
Lattice="5.2860 0.0000 0.0000 0.0000 5.2860 0.0000 0.0000 0.0000 5.2860" Properties=species:S:1:pos:R:3 pbc="T T T"
Na 0.0000 0.0000 0.0000
La 2.6430 2.6430 2.6430
Br 0.0000 0.0000 2.6430
Br 0.0000 2.6430 0.0000
Br 2.6430 0.0000 0.0000
```

***

Stability check: which of them is least stable? 2.

***

1:
LaNbBr2 | PBE | relaxed

## Properties
The calculation puts the density at 5.81 g cm⁻³.

Cell and atoms, written as extended XYZ:
```
8
Lattice="-2.4503 2.4503 9.3289 2.4503 -2.4503 9.3289 2.4503 2.4503 -9.3289" Properties=species:S:1:pos:R:3 pbc="T T T"
La 0.0000 0.0000 0.0000
La 0.0000 2.4503 4.6644
Nb 2.4503 0.0000 4.6644
Nb 0.0000 0.0000 9.3289
Br 1.2251 -1.0645 6.9967
Br 1.3857 1.2251 2.3322
Br 1.2251 3.5148 -2.3322
Br 1.0645 1.2251 11.6611
```

***

2:
LaNbBr2 | PBE | relaxed

## Properties
The calculation puts the density at 6.92 g cm⁻³.

Cell and atoms, written as extended XYZ:
```
4
Lattice="0.0000 3.6093 3.6093 3.6093 0.0000 3.6093 3.6093 3.6093 0.0000" Properties=species:S:1:pos:R:3 pbc="T T T"
La 0.0000 0.0000 0.0000
Nb 3.6093 3.6093 3.6093
Br 1.8047 1.8047 1.8047
Br 5.4140 5.4140 5.4140
```

***

3:
LaNbBr2 | PBE | relaxed

## Properties
The calculation puts the density at 6.36 g cm⁻³.

Cell and atoms, written as extended XYZ:
```
4
Lattice="1.7279 0.9976 9.8822 -1.7279 0.9976 9.8822 0.0000 -1.9952 9.8822" Properties=species:S:1:pos:R:3 pbc="T T T"
La 0.0000 0.0000 0.0000
Nb 0.0000 0.0000 14.8234
Br 0.0000 0.0000 12.2024
Br 0.0000 0.0000 17.4443
```

***

Stability check: which of them is least stable? 2.

***

1:
La2NbBr | PBE | relaxed

## Properties
The calculation puts the density at 5.76 g cm⁻³.

Cell and atoms, written as extended XYZ:
```
8
Lattice="-3.7109 3.7109 4.7179 3.7109 -3.7109 4.7179 3.7109 3.7109 -4.7179" Properties=species:S:1:pos:R:3 pbc="T T T"
La 1.8555 1.3889 -1.1795
La 2.3220 -1.8555 5.8973
La 1.8555 2.3220 3.5384
La 1.3889 5.5664 1.1795
Nb 0.0000 0.0000 0.0000
Nb 0.0000 3.7109 2.3589
Br 3.7109 0.0000 2.3589
Br 0.0000 0.0000 4.7179
```

***

2:
La2NbBr | PBE | relaxed

## Properties
The calculation puts the density at 6.64 g cm⁻³.

Cell and atoms, written as extended XYZ:
```
4
Lattice="0.0000 3.8336 3.8336 3.8336 0.0000 3.8336 3.8336 3.8336 0.0000" Properties=species:S:1:pos:R:3 pbc="T T T"
La 1.9168 1.9168 1.9168
La 5.7504 5.7504 5.7504
Nb 0.0000 0.0000 0.0000
Br 3.8336 3.8336 3.8336
```

***

Stability check: which of them is least stable? 1.

***

1:
LaNb3Br | PBE | relaxed

## Properties
The calculation puts the density at 7.01 g cm⁻³.

Cell and atoms, written as extended XYZ:
```
5
Lattice="4.9027 0.0000 0.0000 0.0000 4.9027 0.0000 0.0000 0.0000 4.9027" Properties=species:S:1:pos:R:3 pbc="T T T"
La 0.0000 0.0000 0.0000
Nb 0.0000 2.4514 2.4514
Nb 2.4514 0.0000 2.4514
Nb 2.4514 2.4514 0.0000
Br 2.4514 2.4514 2.4514
```

***

2:
LaNb3Br | PBE | relaxed

## Properties
The calculation puts the density at 6.57 g cm⁻³.

Cell and atoms, written as extended XYZ:
```
5
Lattice="5.0093 0.0000 0.0000 0.0000 5.0093 0.0000 0.0000 0.0000 5.0093" Properties=species:S:1:pos:R:3 pbc="T T T"
La 0.0000 0.0000 0.0000
Nb 0.0000 0.0000 2.5047
Nb 0.0000 2.5047 0.0000
Nb 2.5047 0.0000 0.0000
Br 2.5047 2.5047 2.5047
```

***

Stability check: which of them is least stable? 2.

***

1:
LaNdBr4 | PBE | relaxed

## Properties
The calculation puts the density at 4.88 g cm⁻³.

Cell and atoms, written as extended XYZ:
```
6
Lattice="-2.9650 2.9650 5.8278 2.9650 -2.9650 5.8278 2.9650 2.9650 -5.8278" Properties=species:S:1:pos:R:3 pbc="T T T"
La 0.0000 0.0000 0.0000
Nd 0.0000 2.9650 2.9139
Br 2.9650 0.0000 0.1050
Br 0.0000 0.0000 3.0695
Br 2.9650 0.0000 5.7227
Br 0.0000 0.0000 8.5860
```

***

2:
LaNdBr4 | PBE | relaxed

## Properties
The calculation puts the density at 4.60 g cm⁻³.

Cell and atoms, written as extended XYZ:
```
6
Lattice="7.0325 0.0000 0.0000 0.0000 4.0663 0.0000 -2.3234 0.0000 7.6112" Properties=species:S:1:pos:R:3 pbc="T T T"
La 0.0000 0.0000 0.0000
Nd 3.5163 2.0331 0.0000
Br 1.2065 2.0331 1.9139
Br 0.0570 0.0000 5.7296
Br 4.6521 0.0000 1.8816
Br 3.5025 2.0331 5.6973
```

***

Stability check: which of them is least stable? 1.

***

1:
LaNi3Br | PBE | relaxed

## Properties
The calculation puts the density at 6.84 g cm⁻³.

Cell and atoms, written as extended XYZ:
```
5
Lattice="4.5757 0.0000 0.0000 0.0000 4.5757 0.0000 0.0000 0.0000 4.5757" Properties=species:S:1:pos:R:3 pbc="T T T"
La 0.0000 0.0000 0.0000
Ni 0.0000 2.2879 2.2879
Ni 2.2879 0.0000 2.2879
Ni 2.2879 2.2879 0.0000
Br 2.2879 2.2879 2.2879
```

***

2:
LaNi3Br | PBE | relaxed

## Properties
The calculation puts the density at 5.73 g cm⁻³.

Cell and atoms, written as extended XYZ:
```
5
Lattice="4.8551 0.0000 0.0000 0.0000 4.8551 0.0000 0.0000 0.0000 4.8551" Properties=species:S:1:pos:R:3 pbc="T T T"
La 0.0000 0.0000 0.0000
Ni 0.0000 0.0000 2.4275
Ni 0.0000 2.4275 0.0000
Ni 2.4275 0.0000 0.0000
Br 2.4275 2.4275 2.4275
```

***

Stability check: which of them is least stable? 2.